Computed, not measured: a relaxed ZnHgPt2Br crystal at the GGA-PBE level of DFT.

The structure belongs to space group P4/mmm (No. 123); the cell edges are 4.855, 4.855 and 5.038 Å and the angles 90.00°, 90.00° and 90.00°. Symmetry generates all atoms from Zn at (0.000, 0.000, 0.000), Hg at (0.500, 0.500, 0.000), Pt at (0.000, 0.500, 0.500) and Br at (0.000, 0.000, 0.500).

For the energy relative to the elements, uncorrected, the calculation gives 4.59 eV per formula unit. The crystal system is tetragonal. The raw total energy is -2.148 eV per atom.



Computed, not measured: a relaxed LiGeBiPt crystal at the GGA-PBE level of DFT.

The structure belongs to space group F-43m (No. 216); the cell edges are 6.742, 6.742 and 6.742 Å and the angles 90.00°, 90.00° and 90.00°. Symmetry generates all atoms from Li at (0.000, 0.000, 0.000), Ge at (0.250, 0.250, 0.250), Bi at (0.250, 0.250, 0.750) and Pt at (0.000, 0.000, 0.500).

The crystal system is cubic. The formation energy from the elements is -0.253 eV/atom. The raw total energy is -4.366 eV per atom.



Computed, not measured: a relaxed Ni2PAu crystal at the GGA-PBE level of DFT.

The structure belongs to space group Immm (No. 71); the cell edges are 3.198, 4.447 and 7.554 Å and the angles 90.00°, 90.00° and 90.00°. Symmetry generates all atoms from Ni at (0.000, 0.000, 0.201), P at (0.000, 0.500, 0.500) and Au at (0.000, 0.500, 0.000).

The crystal system is orthorhombic. The formation energy from the elements is -0.035 eV/atom. The raw total energy is -5.097 eV per atom.



Computed, not measured: a relaxed RbB2Te2Se6 crystal at the GGA-PBE level of DFT.

The structure belongs to space group P-1 (No. 2); the cell edges are 6.685, 7.035 and 8.537 Å and the angles 80.95°, 83.12° and 73.82°. Symmetry generates all atoms from Rb at (0.000, 0.000, 0.000), B at (0.343, 0.580, 0.717), Te at (0.232, 0.285, 0.326), Se at (0.133, 0.433, 0.739), Se at (0.324, 0.860, 0.653) and Se at (0.376, 0.590, 0.239).

For the energy relative to the elements, uncorrected, the calculation gives -2.34 eV per formula unit. The crystal system is triclinic. The raw total energy is -3.987 eV per atom.



Computed, not measured: a relaxed Sr2N2Cl5 crystal at the GGA-PBE level of DFT.

The structure belongs to space group Ima2 (No. 46); the cell edges are 19.310, 5.948 and 8.672 Å and the angles 90.00°, 90.00° and 90.00°. Symmetry generates all atoms from Sr at (0.000, 0.000, 0.000), Sr at (0.250, 0.246, 0.248), N at (0.014, 0.750, 0.250), Cl at (0.099, 0.745, 0.244), Cl at (0.145, 0.232, 0.998) and Cl at (0.250, 0.746, 0.243).

For the energy relative to the elements, uncorrected, the calculation gives -6.83 eV per formula unit. The crystal system is orthorhombic. The raw total energy is -4.008 eV per atom.



Computed, not measured: a relaxed TbDy2YHo crystal at the GGA-PBE level of DFT.

The structure belongs to space group Cmcm (No. 63); the cell edges are 8.338, 11.433 and 7.186 Å and the angles 90.00°, 90.00° and 90.00°. Symmetry generates all atoms from Tb at (0.000, 0.218, 0.250), Dy at (0.191, 0.000, 0.000), Y at (0.000, 0.232, 0.750) and Ho at (0.000, 0.487, 0.250).

The crystal system is orthorhombic. The formation energy from the elements is 0.400 eV/atom. The raw total energy is -4.575 eV per atom.



Computed, not measured: a relaxed CaCoHg2 crystal at the GGA-PBE level of DFT.

The structure belongs to space group P4/mmm (No. 123); the cell edges are 3.488, 3.488 and 6.863 Å and the angles 90.00°, 90.00° and 90.00°. Symmetry generates all atoms from Ca at (0.000, 0.000, 0.000), Co at (0.000, 0.000, 0.500) and Hg at (0.500, 0.500, 0.290).

The crystal system is tetragonal. The formation energy from the elements is 0.031 eV/atom. The raw total energy is -2.397 eV per atom.



Computed, not measured: a relaxed AsPF2 crystal at the GGA-PBE level of DFT.

The structure belongs to space group I-42d (No. 122); the cell edges are 3.694, 3.694 and 15.650 Å and the angles 90.00°, 90.00° and 90.00°. Symmetry generates all atoms from As at (0.000, 0.000, 0.000), P at (0.000, 0.000, 0.500) and F at (0.248, 0.250, 0.625).

For the energy relative to the elements, uncorrected, the calculation gives -2.87 eV per formula unit. The crystal system is tetragonal. The raw total energy is -4.169 eV per atom.



Q: What is the raw total energy in the seventh record?
A: -2.397 eV per atom